Entry 1:
TaAl2 after structural relaxation. Source: Alexandria, functional PBE.

POSCAR file:
```
TaAl2
1.0
2.3544 -4.6494 0.0000
2.3544 4.6494 0.0000
0.0000 0.0000 4.5287
Ta Al
2 4
direct
0.1873 0.1873 0.7500
0.8127 0.8127 0.2500
0.8539 0.5155 0.7500
0.1461 0.4845 0.2500
0.5155 0.8539 0.7500
0.4845 0.1461 0.2500
```

## Properties
E_form ... -124 meV/atom

Entry 2:
Ta3Al after structural relaxation. Source: Alexandria, functional PBE.

POSCAR file:
```
Ta3Al
1.0
2.8330 -0.0092 0.0000
-0.7388 2.7350 0.0000
0.0000 0.0000 9.1264
Al Ta
1 3
direct
0.0000 0.0000 0.0000
0.5000 0.5000 0.7575
0.0000 0.0000 0.5000
0.5000 0.5000 0.2425
```

## Properties
E_form ... -95 meV/atom

Entry 3:
Ta2Al after structural relaxation. Source: Alexandria, functional PBE.

POSCAR file:
```
Ta2Al
1.0
9.9440 0.0000 0.0000
0.0000 9.9440 0.0000
0.0000 0.0000 5.2135
Ta Al
20 10
direct
0.8978 0.1022 0.5000
0.1022 0.8978 0.5000
0.3978 0.3978 0.0000
0.6022 0.6022 0.0000
0.9645 0.3709 0.5000
0.0355 0.6291 0.5000
0.4645 0.1291 0.0000
0.5355 0.8709 0.0000
0.3709 0.9645 0.5000
0.6291 0.0355 0.5000
0.1291 0.4645 0.0000
0.8709 0.5355 0.0000
0.6817 0.3183 0.2482
0.3183 0.6817 0.2482
0.1817 0.1817 0.7482
0.8183 0.8183 0.7482
0.3183 0.6817 0.7518
0.6817 0.3183 0.7518
0.8183 0.8183 0.2518
0.1817 0.1817 0.2518
0.5000 0.5000 0.5000
0.0000 0.0000 0.0000
0.2375 0.4336 0.5000
0.7625 0.5664 0.5000
0.7375 0.0664 0.0000
0.2625 0.9336 0.0000
0.4336 0.2375 0.5000
0.5664 0.7625 0.5000
0.0664 0.7375 0.0000
0.9336 0.2625 0.0000
```

## Properties
E_form ... -253 meV/atom

Going through the records in order, we get calculated total energy values of -6.570; -9.920; -9.403 eV/atom.